(1)
Ca2BeBr (PBE-GGA, relaxed); formation energy (no corrections) = -0.15 eV per atom; distance to the lowest polymorph of the same formula = 310 meV/atom
1.0
5.4669 -0.0040 0.0000
0.9570 5.3825 0.0000
-3.2119 -2.6892 3.5126
Be Ca Br
1 2 1
Direct
0.2500 0.7500 0.5000
0.0000 0.0000 0.0000
0.5000 0.5000 0.0000
0.7500 0.2500 0.5000



(2)
SrCoSn2Hg (PBE-GGA, relaxed); distance to the lowest polymorph of the same formula = 0 meV/atom
1.0
4.9716 0.0000 0.0000
0.0000 4.9716 0.0000
0.0000 0.0000 5.1563
Sr Co Hg Sn
1 1 1 2
Direct
0.5000 0.5000 0.5000
0.0000 0.0000 0.0000
0.0000 0.0000 0.5000
0.0000 0.5000 0.0000
0.5000 0.0000 0.0000



(3)
Density functional theory data (PBE-GGA) for a relaxed structure of Nb3InH.

```
Nb3InH
1.0
1.3718 0.6192 2.9202
-3.2218 -0.6087 -0.2054
3.1586 -17.4674 2.2198
H Nb In
2 6 2
Direct
0.3333 0.6667 0.7500
0.6667 0.3333 0.2500
0.0000 0.0000 0.2500
0.0000 0.0000 0.7500
0.3333 0.6667 0.8662
0.3333 0.6667 0.6338
0.6667 0.3333 0.3662
0.6667 0.3333 0.1338
0.0000 0.0000 0.0000
0.0000 0.0000 0.5000
```



(4)
SmTiN (PBE-GGA, relaxed); formation energy (no corrections) = -0.34 eV per atom
1.0
3.3987 0.0000 0.0000
0.0000 6.8364 0.0000
0.0000 -3.4182 5.9205
N Sm Ti
3 3 3
Direct
0.5000 0.6667 0.3333
0.5000 0.3333 0.6667
0.0000 0.0000 0.0000
0.0000 0.5813 0.5813
0.0000 0.0000 0.4187
0.0000 0.4187 0.0000
0.5000 0.0000 0.7770
0.5000 0.7770 0.0000
0.5000 0.2230 0.2230



(5)
Ho2ThCd (PBE-GGA, relaxed); distance to the lowest polymorph of the same formula = 77 meV/atom
1.0
-3.0666 1.1876 -1.3936
-2.8873 -2.1024 -0.0151
-4.8287 3.5326 9.0591
Ho Th Cd
2 1 1
Direct
0.2547 0.2547 0.2359
0.7453 0.7453 0.7641
0.5000 0.5000 0.5000
0.0000 0.0000 0.0000



(6)
Density functional theory data (PBE-GGA) for a relaxed structure of LiHfTiGe2.

```
LiHfTiGe2
1.0
-1.0564 -1.6066 -3.9187
-2.8966 -2.9597 1.9943
-3.2203 2.9278 -0.3323
Ge Li Hf Ti
2 1 1 1
Direct
0.0000 0.0000 0.5000
0.5000 0.0000 0.0000
0.0000 0.0000 0.0000
0.0000 0.5000 0.0000
0.5000 0.5000 0.5000
```



(7)
K2UBr7 (PBE-GGA, relaxed); formation energy (no corrections) = -1.41 eV per atom
1.0
-3.3489 -7.0565 4.8163
-0.0340 -7.6894 -2.5478
8.2274 -2.2915 11.1050
K U Br
4 2 14
Direct
0.6346 0.8573 0.6359
0.8722 0.3573 0.1359
0.1278 0.6427 0.8641
0.3654 0.1427 0.3641
0.9535 0.2500 0.7500
0.0465 0.7500 0.2500
0.6981 0.6772 0.8581
0.7665 0.1772 0.3581
0.1941 0.8167 0.0616
0.2504 0.2989 0.6338
0.6479 0.2500 0.7500
0.9276 0.3167 0.5616
0.1831 0.2011 0.8662
0.8169 0.7989 0.1338
0.0724 0.6833 0.4384
0.3521 0.7500 0.2500
0.7496 0.7011 0.3662
0.8059 0.1833 0.9384
0.2335 0.8228 0.6419
0.3019 0.3228 0.1419



(8)
YCo2Cu (PBE-GGA, relaxed); distance to the lowest polymorph of the same formula = 0 meV/atom
1.0
4.0172 -0.0060 -0.0115
2.0130 3.4764 -0.0115
2.0257 1.1658 4.7300
Y Co Cu
1 2 1
Direct
0.7452 0.7452 0.7647
0.9436 0.9436 0.1691
0.2672 0.2672 0.1982
0.5440 0.5440 0.3681



(9)
CePmSbAu (PBE-GGA, relaxed); formation energy (no corrections) = -0.75 eV per atom
1.0
-0.7065 -5.2883 -0.4861
4.1617 -3.3231 0.5816
0.3262 -3.1542 4.3181
Sb Au Ce Pm
1 1 1 1
Direct
0.5000 0.5000 0.5000
0.0000 0.0000 0.0000
0.2500 0.2500 0.2500
0.7500 0.7500 0.7500



(10)
AcMg2GaN (PBE-GGA, relaxed); formation energy (no corrections) = -0.57 eV per atom
1.0
-1.5399 2.7635 2.1573
0.0494 -5.6994 3.9379
7.3150 1.9474 2.7267
Ac Mg Ga N
2 4 2 2
Direct
0.4669 0.9338 0.7500
0.5331 0.0662 0.2500
0.1544 0.3087 0.9509
0.8456 0.6913 0.0491
0.1544 0.3087 0.5491
0.8456 0.6913 0.4509
0.7423 0.4846 0.7500
0.2577 0.5154 0.2500
0.0000 0.0000 0.0000
0.0000 0.0000 0.5000



(11)
Tc2MoOs (PBE-GGA, relaxed); distance to the lowest polymorph of the same formula = 208 meV/atom
1.0
-1.4454 0.3187 -2.8334
-0.8591 -3.0777 0.0920
-5.0507 1.4918 2.7444
Mo Os Tc
1 1 2
Direct
0.0000 0.0000 0.5058
0.5000 0.5000 0.7420
0.0000 0.0000 0.0299
0.5000 0.5000 0.2223



(12)
Density functional theory data (PBE-GGA) for a relaxed structure of MgTiBeAu2.

```
MgTiBeAu2
1.0
-3.7646 2.1307 1.9828
-2.6982 -2.8323 -2.0793
0.2676 -2.9746 3.7046
Be Mg Au Ti
1 1 2 1
Direct
0.0000 0.5000 0.0000
0.0000 0.0000 0.0000
0.0000 0.0000 0.5000
0.5000 0.0000 0.0000
0.5000 0.5000 0.5000
```



| no. | magnetic moment (μB per formula unit) | electronic total energy (eV for the cell shown) |
| --- | --- | --- |
| 1 | 0.000 | -10.01 |
| 2 | 0.001 | -18.03 |
| 3 | 0.000 | -70.36 |
| 4 | 0.000 | -65.87 |
| 5 | 0.000 | -17.84 |
| 6 | 0.000 | -26.56 |
| 7 | 0.999 | -78.54 |
| 8 | 2.313 | -25.20 |
| 9 | 2.358 | -21.10 |
| 10 | 0.000 | -43.03 |
| 11 | 0.000 | -41.70 |
| 12 | 1.640 | -15.81 |